# 1
VASP calculation (PBE) on a geometry-optimized BaTmPtO4 structure.

Cell: 6.684 6.883 10.285 Å, 90.00 90.00 90.00°
Space group Imma (No. 74)
Unique sites:
Ba  0.000  0.250  0.142 [4 per cell]
Tm  0.000  0.000  0.500 [4 per cell]
Pt  0.250  0.250  0.750 [4 per cell]
O  0.000  0.067  0.723 [8 per cell]
O  0.209  0.250  0.498 [8 per cell]

Computed properties:
- uncorrected energy (eV/atom) = -6.650
- raw formation energy (eV per atom) = -2.041

# 2
VASP calculation (PBE) on a geometry-optimized Mg2ZrCd structure.

Cell: 10.940 3.051 5.507 Å, 90.00 106.19 90.00°
Space group C2/m (No. 12)
Unique sites:
Mg  0.239  0.000  0.246 [4 per cell]
Zr  0.000  0.000  0.500 [2 per cell]
Cd  0.000  0.500  0.000 [2 per cell]

Computed properties:
- formation energy from the elements (meV per atom) = 17
- uncorrected energy (eV/atom) = -3.146

Q: The lowest uncorrected energy belongs to which entry?
A: BaTmPtO4